Compound: MgCd3Pb
Source: the Alexandria database
Functional: PBE
Structure: relaxed

Output
DFT formation energy: 0 kJ/mol of formula units
Total moment: 0.000 μB/atom
E: -16.11 eV for the cell shown

CIF file:
```
data_MgCd3Pb
_space_group_name_H-M_alt 'P 1'
_space_group_IT_number 1
_cell_length_a 7.3165
_cell_length_b 7.3566
_cell_length_c 7.9620
_cell_angle_alpha 91.50
_cell_angle_beta 109.29
_cell_angle_gamma 137.63
loop_
_space_group_symop_operation_xyz
'x,y,z'
loop_
_atom_site_label
_atom_site_type_symbol
_atom_site_fract_x
_atom_site_fract_y
_atom_site_fract_z
Mg1 Mg 0.5393 0.3737 0.1517
Mg2 Mg 0.4607 0.6263 0.8483
Cd1 Cd 0.9489 0.6794 0.9729
Cd2 Cd 0.0511 0.3206 0.0271
Cd3 Cd 0.3968 0.0091 0.7936
Cd4 Cd 0.6032 0.9909 0.2064
Cd5 Cd 0.1981 0.6575 0.4036
Cd6 Cd 0.8019 0.3425 0.5964
Pb1 Pb 0.8500 0.9016 0.6431
Pb2 Pb 0.1500 0.0984 0.3569
```